Model P:
This record from Alexandria via LeMat-Bulk describes an optimized crystal structure of LiErAl2. The functional is PBE-GGA.

Results
Space-group type: P2/m (10)

The structure in POSCAR format:
```
LiErAl2
1.0
4.532 0.003 0.037
0.011 5.633 -1.704
-0.033 -3.911 4.306
Li Er Al
1 1 2
Direct
0.500 0.000 0.000
0.500 0.500 0.000
0.000 0.850 0.624
0.000 0.150 0.376
```

Model Q:
This record from Alexandria via LeMat-Bulk describes an optimized crystal structure of LiErAl2. The functional is PBE-GGA.

Results
Space-group type: P4/mmm (123)

The structure in POSCAR format:
```
LiErAl2
1.0
3.338 0.000 0.000
0.000 3.338 0.000
0.000 0.000 6.935
Li Al Er
1 2 1
Direct
0.500 0.500 0.000
0.000 0.000 0.796
0.000 0.000 0.204
0.500 0.500 0.500
```

Model R:
This record from Alexandria via LeMat-Bulk describes an optimized crystal structure of LiErAl2. The functional is PBE-GGA.

Results
Space-group type: P4/mmm (123)

The structure in POSCAR format:
```
LiErAl2
1.0
4.121 0.000 0.000
0.000 4.407 0.000
0.000 0.000 4.407
Li Al Er
1 2 1
Direct
0.500 0.000 0.000
0.000 0.000 0.500
0.000 0.500 0.000
0.500 0.500 0.500
```

The relative energies come out as model P 108; model Q 0; model R 10, with values in meV/atom.

Model P:
This record from Alexandria via LeMat-Bulk describes an optimized crystal structure of LiErAl2. The functional is PBE-GGA.

Results
Space-group type: R-3m (166)

The structure in POSCAR format:
```
LiErAl2
1.0
-1.005 2.910 0.529
-0.805 0.873 2.889
8.672 4.152 2.852
Li Al Er
1 2 1
Direct
0.000 0.000 0.000
0.745 0.745 0.764
0.255 0.255 0.236
0.500 0.500 0.500
```

Model Q:
This record from Alexandria via LeMat-Bulk describes an optimized crystal structure of LiErAl2. The functional is PBE-GGA.

Results
Space-group type: Fm-3m (225)

The structure in POSCAR format:
```
LiErAl2
1.0
-3.075 2.074 3.092
-3.009 -2.730 2.610
0.677 -0.468 4.758
Li Al Er
1 2 1
Direct
0.500 0.500 0.500
0.250 0.250 0.250
0.750 0.750 0.750
0.000 0.000 0.000
```

The relative energies come out as model P 247; model Q 0, with values in meV/atom.

Model P:
This record from Alexandria via LeMat-Bulk describes an optimized crystal structure of LiEr3Al2. The functional is PBE-GGA.

Results
Space-group type: P-3m1 (164)

The structure in POSCAR format:
```
LiEr3Al2
1.0
-4.454 2.212 1.018
0.320 -5.059 -0.258
2.559 -0.461 12.202
Li Er Al
2 6 4
Direct
0.333 0.667 0.670
0.667 0.333 0.330
0.333 0.667 0.416
0.667 0.333 0.082
0.000 0.000 0.753
0.000 0.000 0.247
0.333 0.667 0.918
0.667 0.333 0.584
0.000 0.000 0.500
0.333 0.667 0.172
0.667 0.333 0.828
0.000 0.000 0.000
```

Model Q:
This record from Alexandria via LeMat-Bulk describes an optimized crystal structure of LiEr3Al2. The functional is PBE-GGA.

Results
Space-group type: P4/mmm (123)

The structure in POSCAR format:
```
LiEr3Al2
1.0
-0.834 3.359 0.757
-2.728 -0.169 -2.254
-6.633 -3.516 8.294
Li Er Al
1 3 2
Direct
0.500 0.500 0.500
0.000 0.000 0.000
0.000 0.000 0.679
0.000 0.000 0.321
0.500 0.500 0.835
0.500 0.500 0.165
```

The relative energies come out as model P 0; model Q 28, with values in meV/atom.

Model P:
This record from Alexandria via LeMat-Bulk describes an optimized crystal structure of Er2LuAl. The functional is PBE-GGA.

Results
Space-group type: P4/mmm (123)

The structure in POSCAR format:
```
Er2LuAl
1.0
-1.635 -2.952 0.785
2.132 -1.741 -2.103
5.631 -1.311 6.793
Lu Al Er
1 1 2
Direct
0.500 0.500 0.500
0.500 0.500 0.000
0.000 0.000 0.783
0.000 0.000 0.217
```

Model Q:
This record from Alexandria via LeMat-Bulk describes an optimized crystal structure of Er2LuAl. The functional is PBE-GGA.

Results
Space-group type: P4/mmm (123)

The structure in POSCAR format:
```
Er2LuAl
1.0
4.678 0.000 0.000
0.000 4.703 0.000
0.000 0.000 4.703
Lu Al Er
1 1 2
Direct
0.500 0.500 0.500
0.500 0.000 0.000
0.000 0.000 0.500
0.000 0.500 0.000
```

Model R:
This record from Alexandria via LeMat-Bulk describes an optimized crystal structure of Er2LuAl. The functional is PBE-GGA.

Results
Space-group type: Fm-3m (225)

The structure in POSCAR format:
```
Er2LuAl
1.0
5.272 0.000 0.000
2.636 4.566 0.000
2.636 1.522 4.305
Lu Al Er
1 1 2
Direct
0.000 0.000 0.000
0.500 0.500 0.500
0.250 0.250 0.250
0.750 0.750 0.750
```

The relative energies come out as model P 9; model Q 0; model R 121, with values in meV/atom.

Model P:
This record from Alexandria via LeMat-Bulk describes an optimized crystal structure of Er3MgAl. The functional is PBE-GGA.

Results
Space-group type: Cmcm (63)

The structure in POSCAR format:
```
Er3MgAl
1.0
-3.554 1.276 -3.399
-2.998 -3.709 1.742
-5.818 7.016 4.921
Er Mg Al
6 2 2
Direct
0.763 0.250 0.123
0.387 0.250 0.874
0.575 0.250 0.499
0.261 0.750 0.126
0.886 0.750 0.877
0.074 0.750 0.501
0.667 0.750 0.313
0.981 0.250 0.687
0.483 0.750 0.682
0.165 0.250 0.318
```

Model Q:
This record from Alexandria via LeMat-Bulk describes an optimized crystal structure of Er3MgAl. The functional is PBE-GGA.

Results
Space-group type: P6_3/mmc (194)

The structure in POSCAR format:
```
Er3MgAl
1.0
-1.929 1.382 -4.302
5.355 -4.753 -3.927
-7.238 -3.021 2.275
Er Mg Al
6 2 2
Direct
0.250 0.802 0.198
0.750 0.198 0.802
0.250 0.801 0.603
0.750 0.199 0.397
0.250 0.397 0.199
0.750 0.603 0.801
0.000 0.000 0.000
0.500 0.000 0.000
0.250 0.333 0.667
0.750 0.667 0.333
```

The relative energies come out as model P 0; model Q 355, with values in meV/atom.

Model P:
This record from Alexandria via LeMat-Bulk describes an optimized crystal structure of ErMg2Al. The functional is PBE-GGA.

Results
Space-group type: Fm-3m (225)

The structure in POSCAR format:
```
ErMg2Al
1.0
-2.554 -2.212 -3.677
-1.084 -4.866 0.289
-4.712 -1.467 0.764
Mg Al Er
2 1 1
Direct
0.250 0.250 0.250
0.750 0.750 0.750
0.500 0.500 0.500
0.000 0.000 0.000
```

Model Q:
This record from Alexandria via LeMat-Bulk describes an optimized crystal structure of ErMg2Al. The functional is PBE-GGA.

Results
Space-group type: P4/mmm (123)

The structure in POSCAR format:
```
ErMg2Al
1.0
4.761 0.000 0.000
0.000 4.358 0.000
0.000 0.000 4.358
Mg Al Er
2 1 1
Direct
0.000 0.000 0.500
0.000 0.500 0.000
0.500 0.000 0.000
0.500 0.500 0.500
```

The relative energies come out as model P 161; model Q 0, with values in meV/atom.

Model P:
This record from Alexandria via LeMat-Bulk describes an optimized crystal structure of ErAlMo. The functional is PBE-GGA.

Results
Space-group type: Fddd (70)

The structure in POSCAR format:
```
ErAlMo
1.0
5.328 0.000 0.000
2.664 4.907 0.000
2.664 0.000 9.777
Al Mo Er
4 4 4
Direct
0.154 0.500 0.692
0.346 0.500 0.308
0.596 0.000 0.808
0.404 0.000 0.192
0.623 0.500 0.753
0.877 0.500 0.247
0.127 0.000 0.747
0.873 0.000 0.253
0.907 0.185 0.500
0.593 0.815 0.500
0.843 0.315 0.000
0.157 0.685 0.000
```

Model Q:
This record from Alexandria via LeMat-Bulk describes an optimized crystal structure of ErAlMo. The functional is PBE-GGA.

Results
Space-group type: Imma (74)

The structure in POSCAR format:
```
ErAlMo
1.0
-4.681 2.510 -0.631
-4.405 -2.917 -1.595
-4.050 -0.944 3.627
Er Al Mo
2 2 2
Direct
0.882 0.368 0.368
0.118 0.632 0.632
0.500 0.500 0.000
0.500 0.000 0.500
0.000 0.000 0.000
0.500 0.000 0.000
```

The relative energies come out as model P 432; model Q 0, with values in meV/atom.

Model P:
This record from Alexandria via LeMat-Bulk describes an optimized crystal structure of ErNbAl. The functional is PBE-GGA.

Results
Space-group type: P3m1 (156)

The structure in POSCAR format:
```
ErNbAl
1.0
-1.976 -2.171 0.299
3.440 -3.275 -1.054
-0.761 1.328 4.618
Nb Al Er
1 1 1
Direct
0.168 0.333 0.667
0.665 0.667 0.333
0.166 0.000 0.000
```

Model Q:
This record from Alexandria via LeMat-Bulk describes an optimized crystal structure of ErNbAl. The functional is PBE-GGA.

Results
Space-group type: P-62m (189)

The structure in POSCAR format:
```
ErNbAl
1.0
-2.214 -2.236 3.324
5.128 -4.873 0.138
0.442 5.719 4.141
Al Er Nb
3 3 3
Direct
0.500 0.667 0.333
0.500 0.333 0.667
0.000 0.000 0.000
0.000 0.575 0.575
0.000 0.000 0.425
0.000 0.425 0.000
0.500 0.000 0.782
0.500 0.782 0.000
0.500 0.218 0.218
```

The relative energies come out as model P 292; model Q 0, with values in meV/atom.

Model P:
This record from Alexandria via LeMat-Bulk describes an optimized crystal structure of Nd2ErAl. The functional is PBE-GGA.

Results
Space-group type: P4/mmm (123)

The structure in POSCAR format:
```
Nd2ErAl
1.0
3.572 0.000 0.000
0.000 3.572 0.000
0.000 0.000 9.272
Nd Al Er
2 1 1
Direct
0.000 0.000 0.783
0.000 0.000 0.217
0.500 0.500 0.000
0.500 0.500 0.500
```

Model Q:
This record from Alexandria via LeMat-Bulk describes an optimized crystal structure of Nd2ErAl. The functional is PBE-GGA.

Results
Space-group type: R3m (160)

The structure in POSCAR format:
```
Nd2ErAl
1.0
3.666 0.000 0.000
1.833 3.175 0.000
1.833 1.058 10.647
Nd Er Al
2 1 1
Direct
0.074 0.074 0.779
0.260 0.260 0.221
0.500 0.500 0.500
0.666 0.666 0.001
```

The relative energies come out as model P 0; model Q 120, with values in meV/atom.

Model P:
This record from Alexandria via LeMat-Bulk describes an optimized crystal structure of Nd2ErAl. The functional is PBE-GGA.

Results
Space-group type: Amm2 (38)

The structure in POSCAR format:
```
Nd2ErAl
1.0
5.349 0.000 0.000
0.000 7.021 -0.025
0.000 -3.526 6.072
Nd Er Al
4 2 2
Direct
0.500 0.176 0.824
0.000 0.354 0.181
0.000 0.819 0.646
0.000 0.822 0.178
0.500 0.647 0.822
0.500 0.178 0.353
0.500 0.665 0.335
0.000 0.338 0.662
```

Model Q:
This record from Alexandria via LeMat-Bulk describes an optimized crystal structure of Nd2ErAl. The functional is PBE-GGA.

Results
Space-group type: Fm-3m (225)

The structure in POSCAR format:
```
Nd2ErAl
1.0
5.448 0.000 0.000
2.724 4.718 0.000
2.724 1.573 4.448
Nd Al Er
2 1 1
Direct
0.250 0.250 0.250
0.750 0.750 0.750
0.500 0.500 0.500
0.000 0.000 0.000
```

The relative energies come out as model P 0; model Q 109, with values in meV/atom.

Model P:
This record from Alexandria via LeMat-Bulk describes an optimized crystal structure of NdEr2Al6. The functional is PBE-GGA.

Results
Space-group type: Immm (71)

The structure in POSCAR format:
```
NdEr2Al6
1.0
4.398 0.000 0.000
2.199 7.528 1.119
2.199 3.233 6.890
Nd Er Al
1 2 6
Direct
0.500 0.500 0.500
0.376 0.124 0.124
0.624 0.876 0.876
0.186 0.510 0.118
0.814 0.490 0.882
0.814 0.882 0.490
0.000 0.183 0.817
0.000 0.817 0.183
0.186 0.118 0.510
```

Model Q:
This record from Alexandria via LeMat-Bulk describes an optimized crystal structure of NdEr2Al6. The functional is PBE-GGA.

Results
Space-group type: P6/mmm (191)

The structure in POSCAR format:
```
NdEr2Al6
1.0
3.508 0.000 0.000
0.000 6.870 -3.967
0.000 0.000 7.933
Nd Er Al
1 2 6
Direct
0.000 0.000 0.000
0.000 0.333 0.667
0.000 0.667 0.333
0.500 0.336 0.336
0.500 0.664 0.664
0.500 0.000 0.664
0.500 0.664 0.000
0.500 0.336 0.000
0.500 0.000 0.336
```

The relative energies come out as model P 214; model Q 0, with values in meV/atom.

Model P:
This record from Alexandria via LeMat-Bulk describes an optimized crystal structure of Nd2Er2Al. The functional is PBE-GGA.

Results
Space-group type: R-3m (166)

The structure in POSCAR format:
```
Nd2Er2Al
1.0
4.934 0.000 0.000
2.467 4.273 0.000
2.467 1.424 8.507
Nd Er Al
2 2 1
Direct
0.565 0.565 0.304
0.435 0.435 0.696
0.300 0.300 0.099
0.700 0.700 0.901
0.000 0.000 0.000
```

Model Q:
This record from Alexandria via LeMat-Bulk describes an optimized crystal structure of Nd2Er2Al. The functional is PBE-GGA.

Results
Space-group type: I4/mmm (139)

The structure in POSCAR format:
```
Nd2Er2Al
1.0
-0.667 1.525 3.121
-1.390 -3.030 1.183
11.639 -2.592 1.750
Nd Er Al
2 2 1
Direct
0.809 0.809 0.618
0.191 0.191 0.382
0.580 0.580 0.160
0.420 0.420 0.840
0.000 0.000 0.000
```

The relative energies come out as model P 570; model Q 0, with values in meV/atom.